Record 1
This record from Alexandria describes a relaxed structure of Na2Li2Hg2Pb. The functional is GGA-PBE.

Unit cell a=5.058 b=5.069 c=7.706 alpha=108.61 beta=90.00 gamma=119.93
Atoms (fractional coordinates):
Na: 0.576 0.152 0.727
Na: 0.424 0.848 0.273
Li: 0.716 0.432 0.149
Li: 0.284 0.568 0.851
Hg: 0.852 0.704 0.556
Hg: 0.148 0.296 0.444
Pb: 0.000 0.000 0.000

Formation energy, kJ/mol of formula units: -168
Final energy, eV per atom: -1.788
N(E_F), states/eV per cell: 1.41


Record 2
This record from Alexandria describes a relaxed structure of PuMgMnZn. The functional is GGA-PBE.

Unit cell a=4.896 b=4.896 c=4.896 alpha=60.00 beta=60.00 gamma=60.00
Atoms (fractional coordinates):
Pu: 0.500 0.500 0.500
Zn: 0.750 0.750 0.750
Mn: 0.250 0.250 0.250
Mg: 0.000 0.000 0.000

Formation energy, kJ/mol of formula units: 116
Final energy, eV per atom: -6.292
N(E_F), states/eV per cell: 11.85


Record 3
This record from Alexandria describes a relaxed structure of HfCrC. The functional is GGA-PBE.

Unit cell a=3.094 b=4.586 c=5.627 alpha=93.14 beta=105.96 gamma=90.00
Atoms (fractional coordinates):
C: 0.828 0.261 0.657
C: 0.172 0.739 0.343
Cr: 0.559 0.720 0.119
Cr: 0.441 0.280 0.881
Hf: 0.170 0.238 0.341
Hf: 0.830 0.762 0.659

Formation energy, kJ/mol of formula units: -118
Final energy, eV per atom: -10.008
N(E_F), states/eV per cell: 3.11